Entry 1:
Density functional theory data (PBE) for a geometry-optimized ScCdW2 structure.

a b c (Å): 5.512 5.512 5.512
angles (deg): 142.86 133.49 60.96
Element x y z (fractional)
Sc  0.250  0.750  0.500
W  0.498  0.498  0.000
W  0.002  0.002  0.000
Cd  0.750  0.250  0.500

E in eV per atom: -7.8921
Energy relative to the elements in meV/atom: 396
SG: No. 71
Crystal system: orthorhombic

=====

Entry 2:
Density functional theory data (PBE) for a geometry-optimized ScCdW2 structure.

a b c (Å): 4.912 2.814 5.334
angles (deg): 81.47 90.00 90.00
Element x y z (fractional)
Cd  0.500  0.250  0.250
Sc  0.500  0.750  0.750
W  0.000  0.046  0.983
W  0.000  0.454  0.517

E in eV per atom: -7.9085
Energy relative to the elements in meV/atom: 380
SG: No. 10
Crystal system: monoclinic